No. 1
Material: CaNiCl2
Method: DFT, GGA-PBE
State: relaxed

Summary:
Formation energy from raw total energies   -2.51 eV per formula unit
Distance to the lowest polymorph of the same formula   2.21 eV/f.u.

Unit cell a=3.457 b=3.457 c=6.488 alpha=90.00 beta=90.00 gamma=90.00
Space group P4/mmm (No. 123)
Asymmetric unit:
Ca1 0.000 0.000 0.000 (multiplicity 1)
Ni1 0.000 0.000 0.500 (multiplicity 1)
Cl1 0.500 0.500 0.243 (multiplicity 2)

=====

No. 2
Material: Hg4W
Method: DFT, GGA-PBE
State: relaxed

Summary:
Distance to the lowest polymorph of the same formula   1.10 eV/f.u.
Formation energy from the elements   1051 meV/atom

Unit cell a=3.842 b=3.842 c=16.350 alpha=90.00 beta=90.00 gamma=90.00
Space group I4/mmm (No. 139)
Asymmetric unit:
Hg1 0.000 0.000 0.088 (multiplicity 4)
Hg2 0.000 0.500 0.250 (multiplicity 4)
W1 0.000 0.000 0.500 (multiplicity 2)

=====

No. 3
Material: Mg2Zr5
Method: DFT, GGA-PBE
State: relaxed

Summary:
Formation energy from the elements   273 meV/atom

Unit cell a=13.357 b=3.138 c=10.034 alpha=90.00 beta=128.54 gamma=90.00
Space group C2/m (No. 12)
Asymmetric unit:
Mg1 0.144 0.000 0.419 (multiplicity 4)
Zr1 0.000 0.500 0.500 (multiplicity 2)
Zr2 0.123 0.000 0.867 (multiplicity 4)
Zr3 0.151 0.500 0.154 (multiplicity 4)

=====

No. 4
Material: CaRuPb4
Method: DFT, GGA-PBE
State: relaxed

Summary:
Formation energy from the elements   519 meV/atom

Unit cell a=8.938 b=8.938 c=8.938 alpha=90.00 beta=90.00 gamma=90.00
Space group F-43m (No. 216)
Asymmetric unit:
Ca1 0.000 0.000 0.000 (multiplicity 4)
Ru1 0.250 0.250 0.250 (multiplicity 4)
Pb1 0.124 0.124 0.624 (multiplicity 16)

=====

No. 5
Material: AcLuNiGe
Method: DFT, GGA-PBE
State: relaxed

Summary:
Formation energy from the elements   -369 meV/atom

Unit cell a=7.258 b=7.258 c=7.258 alpha=90.00 beta=90.00 gamma=90.00
Space group F-43m (No. 216)
Asymmetric unit:
Ac1 0.000 0.000 0.000 (multiplicity 4)
Lu1 0.000 0.000 0.500 (multiplicity 4)
Ni1 0.250 0.250 0.750 (multiplicity 4)
Ge1 0.250 0.250 0.250 (multiplicity 4)

=====

No. 6
Material: Tb2PmEr7
Method: DFT, GGA-PBE
State: relaxed

Summary:
Distance to the lowest polymorph of the same formula   3.06 eV/f.u.
Formation energy from the elements   709 meV/atom

Unit cell a=8.653 b=16.488 c=5.418 alpha=90.00 beta=90.00 gamma=90.00
Space group Cmmm (No. 65)
Asymmetric unit:
Tb1 0.000 0.202 0.000 (multiplicity 4)
Pm1 0.000 0.500 0.500 (multiplicity 2)
Er1 0.000 0.000 0.000 (multiplicity 2)
Er2 0.000 0.294 0.500 (multiplicity 4)
Er3 0.177 0.387 0.000 (multiplicity 8)

=====

No. 7
Material: Pa5Tc4Ge
Method: DFT, GGA-PBE
State: relaxed

Summary:
Formation energy from the elements   -212 meV/atom

Unit cell a=3.324 b=3.324 c=18.715 alpha=90.00 beta=90.00 gamma=90.00
Space group P4/mmm (No. 123)
Asymmetric unit:
Pa1 0.000 0.000 0.000 (multiplicity 1)
Pa2 0.000 0.000 0.193 (multiplicity 2)
Pa3 0.000 0.000 0.386 (multiplicity 2)
Tc1 0.500 0.500 0.101 (multiplicity 2)
Tc2 0.500 0.500 0.288 (multiplicity 2)
Ge1 0.500 0.500 0.500 (multiplicity 1)

=====

No. 8
Material: NaGaTe2
Method: DFT, GGA-PBE
State: relaxed

Summary:
Formation energy from raw total energies   -2.31 eV per formula unit

Unit cell a=12.045 b=11.624 c=15.650 alpha=90.00 beta=100.12 gamma=90.00
Space group C2/c (No. 15)
Asymmetric unit:
Na1 0.025 0.133 0.087 (multiplicity 8)
Na2 0.203 0.474 0.137 (multiplicity 8)
Ga1 0.108 0.186 0.658 (multiplicity 8)
Ga2 0.135 0.434 0.849 (multiplicity 8)
Te1 0.000 0.046 0.750 (multiplicity 4)
Te2 0.000 0.419 0.250 (multiplicity 4)
Te3 0.006 0.338 0.951 (multiplicity 8)
Te4 0.205 0.059 0.550 (multiplicity 8)
Te5 0.239 0.200 0.232 (multiplicity 8)